## Li2GeAs2 (PBE)

Data for an optimized crystal structure of Li2GeAs2.

It has space group P2_1/c (No. 14), with a = 9.0943 Å, b = 6.9491 Å, c = 6.6785 Å, α = 90.00°, β = 92.39° and γ = 90.00°. The inequivalent atoms are Li at (0.0504, 0.2025, 0.0063), Li at (0.1869, 0.6309, 0.8449), Ge at (0.3673, 0.0815, 0.8272), As at (0.1241, 0.5214, 0.2068) and As at (0.3883, 0.0834, 0.2021).

The calculation puts the energy above the most stable polymorph in this dataset at 0.0 meV/atom. For the total energy, the calculation gives -3.92 eV per atom. The size of the total moment comes out at 0.00 μB/f.u.

***

## SrZn2Ru (PBE)

Data for an optimized crystal structure of SrZn2Ru.

It has space group I-42d (No. 122), with a = 4.7695 Å, b = 4.7695 Å, c = 17.5894 Å, α = 90.00°, β = 90.00° and γ = 90.00°. The inequivalent atoms are Sr at (0.0000, 0.0000, 0.0000), Zn at (0.0077, 0.2500, 0.6250) and Ru at (0.0000, 0.0000, 0.5000).

For the total energy, the calculation gives -3.17 eV per atom. The size of the total moment comes out at 0.00 μB/f.u.

***

## Ti3SeO (PBE)

Data for an optimized crystal structure of Ti3SeO.

It has space group Ama2 (No. 40), with a = 3.9758 Å, b = 12.4024 Å, c = 6.1982 Å, α = 90.00°, β = 90.00° and γ = 90.00°. The inequivalent atoms are Ti at (0.2500, 0.0841, 0.0000), Ti at (0.2500, 0.2701, 0.3007), Ti at (0.2500, 0.4046, 0.8171), Se at (0.2500, 0.1153, 0.5820) and O at (0.2500, 0.4171, 0.4800).

The calculation puts the energy above the most stable polymorph in this dataset at 0.0 meV/atom. For the total energy, the calculation gives -7.73 eV per atom. As for the uncorrected formation energy: -1.31 eV per atom. The size of the total moment comes out at 0.00 μB/f.u.

***

## LiAsIN2 (PBE)

Data for an optimized crystal structure of LiAsIN2.

It has space group P4/mmm (No. 123), with a = 4.2245 Å, b = 4.2245 Å, c = 5.3532 Å, α = 90.00°, β = 90.00° and γ = 90.00°. The inequivalent atoms are Li at (0.0000, 0.0000, 0.0000), As at (0.5000, 0.5000, 0.5000), I at (0.0000, 0.0000, 0.5000) and N at (0.0000, 0.5000, 0.0000).

The calculation puts the energy above the most stable polymorph in this dataset at 982.6 meV/atom. For the total energy, the calculation gives -3.21 eV per atom. As for the uncorrected formation energy: 1.74 eV per atom. The size of the total moment comes out at 3.66 μB/f.u.

***

## NdBiI (PBE)

Data for an optimized crystal structure of NdBiI.

It has space group C2/m (No. 12), with a = 16.2978 Å, b = 4.0606 Å, c = 7.3880 Å, α = 90.00°, β = 111.93° and γ = 90.00°. The inequivalent atoms are Nd at (0.1195, 0.0000, 0.1433), Bi at (0.2154, 0.0000, 0.6255) and I at (0.0233, 0.5000, 0.7729).

The calculation puts the energy above the most stable polymorph in this dataset at 0.0 meV/atom. For the total energy, the calculation gives -4.17 eV per atom. As for the uncorrected formation energy: -0.77 eV per atom. The size of the total moment comes out at 0.00 μB/f.u.

***

## PdPbI (PBE)

Data for an optimized crystal structure of PdPbI.

It has space group C2/m (No. 12), with a = 12.8928 Å, b = 3.9771 Å, c = 7.6824 Å, α = 90.00°, β = 118.08° and γ = 90.00°. The inequivalent atoms are Pd at (0.1205, 0.0000, 0.0645), Pb at (0.0263, 0.5000, 0.2366) and I at (0.2014, 0.0000, 0.7345).

The calculation puts the energy above the most stable polymorph in this dataset at 5.5 meV/atom. For the total energy, the calculation gives -3.75 eV per atom. As for the uncorrected formation energy: -0.27 eV per atom. The size of the total moment comes out at 0.00 μB/f.u.

***

## RbSn3Se (PBE)

Data for an optimized crystal structure of RbSn3Se.

It has space group Pm-3m (No. 221), with a = 5.7294 Å, b = 5.7294 Å, c = 5.7294 Å, α = 90.00°, β = 90.00° and γ = 90.00°. The inequivalent atoms are Rb at (0.0000, 0.0000, 0.0000), Sn at (0.0000, 0.5000, 0.5000) and Se at (0.5000, 0.5000, 0.5000).

The calculation puts the energy above the most stable polymorph in this dataset at 0.0 meV/atom. For the total energy, the calculation gives -3.16 eV per atom. As for the uncorrected formation energy: 0.13 eV per atom. The size of the total moment comes out at 0.00 μB/f.u.